# 1
Compound: NiTe2IO
Source: Alexandria
Functional: PBE with a Hubbard U
Structure: optimized geometry

Cell lengths 4.9765, 4.9765, 5.0034 Å; angles 90.00, 90.00, 90.00 degrees
Last column: nearest neighbours and their distance in Å.
Positions (direct):
Ni: 0.0000 0.0000 0.0000  4 Te 2.49, 2 I 2.50
Te: 0.0000 0.5000 0.0000  2 Ni 2.49
Te: 0.5000 0.0000 0.0000  2 Ni 2.49
I: 0.0000 0.0000 0.5000  2 Ni 2.50
O: 0.5000 0.5000 0.5000  4 I 3.52, 8 Te 3.53

Results
Relative energy among the computed polymorphs ... 325 meV per atom
Space group ... P4/mmm

=====

# 2
Compound: NiTe2IO
Source: Alexandria
Functional: PBE with a Hubbard U
Structure: optimized geometry

Cell lengths 4.7842, 4.7842, 5.1316 Å; angles 90.00, 90.00, 90.00 degrees
Last column: nearest neighbours and their distance in Å.
Positions (direct):
Ni: 0.0000 0.0000 0.0000  4 I 3.38, 8 Te 3.51
Te: 0.0000 0.5000 0.5000  2 O 2.39
Te: 0.5000 0.0000 0.5000  2 O 2.39
I: 0.5000 0.5000 0.0000  2 O 2.57
O: 0.5000 0.5000 0.5000  4 Te 2.39, 2 I 2.57

Results
Relative energy among the computed polymorphs ... 0 meV per atom
Space group ... P4/mmm

=====

# 3
Compound: TiNiI2O
Source: Alexandria
Functional: PBE with a Hubbard U
Structure: optimized geometry

Cell lengths 5.5546, 5.5546, 3.5690 Å; angles 90.00, 90.00, 90.00 degrees
Last column: nearest neighbours and their distance in Å.
Positions (direct):
Ti: 0.0000 0.0000 0.0000  8 I 3.30, 2 Ti 3.57
Ni: 0.5000 0.5000 0.5000  2 O 1.78
I: 0.0000 0.5000 0.5000  2 Ni 2.78
I: 0.5000 0.0000 0.5000  2 Ni 2.78
O: 0.5000 0.5000 0.0000  2 Ni 1.78

Results
Relative energy among the computed polymorphs ... 820 meV per atom
Space group ... P4/mmm

=====

no.,volume (Å³ per cell),magnetization (Bohr magnetons per cell),DOS at the Fermi energy (states/eV/cell)
1,123.9,0.00,9.1
2,117.5,1.83,3.7
3,110.1,2.45,6.7